# LiZnH3, optimized geometry, DFT GGA-PBE
# DOS at the Fermi energy, states/eV per cell: 0.00
# Spin magnetization, μB per formula unit: 0.0
# E, eV per atom: -2.737
data_LiZnH3
_cell_length_a 13.4585
_cell_length_b 13.4585
_cell_length_c 6.4425
_cell_angle_alpha 90.00
_cell_angle_beta 90.00
_cell_angle_gamma 120.00
_space_group_name_H-M_alt 'R -3'
_space_group_IT_number 148
_space_group_name_Hall '-R 3'
loop_
_atom_site_label
_atom_site_type_symbol
_atom_site_fract_x
_atom_site_fract_y
_atom_site_fract_z
_atom_site_occupancy
Li1 Li 0.0805 0.8519 0.2030 1
Zn1 Zn 0.0770 0.5758 0.3825 1
H1 H 0.0100 0.8770 0.8129 1
H2 H 0.0363 0.4342 0.4656 1
H3 H 0.0389 0.5611 0.1433 1